Material: LaDy2NpN4
Method: DFT, PBE
State: optimized geometry Values from VASP.

Calculated values
SG: Cmcm, No. 63
Density of states at the Fermi level, states/eV per cell: 17.408
Raw total energy, eV/atom: -8.74
Theoretical density, Mg/m³: 10.02

```
&SYSTEM
  ibrav = 0, nat = 16, ntyp = 4
/
ATOMIC_SPECIES
N 14.01 N.upf
Dy 162.50 Dy.upf
La 138.91 La.upf
Np 237.00 Np.upf
CELL_PARAMETERS angstrom
-2.009 0.169 -2.819
-3.212 -4.335 4.161
-5.538 8.374 4.449
ATOMIC_POSITIONS angstrom
N -2.769 4.187 2.225
N 0.000 0.000 0.000
N -5.770 5.748 2.327
N -8.454 4.990 4.195
N -4.989 -1.540 3.464
N -2.305 -0.781 1.596
N -6.909 2.653 2.953
N -3.850 1.555 2.838
Dy -7.528 7.261 3.670
Dy -5.838 0.889 4.215
Dy -3.232 -3.053 2.121
Dy -4.921 3.319 1.576
La -4.641 -0.092 1.172
La -6.118 4.300 4.619
Np -9.069 2.423 4.479
Np -1.691 1.785 1.312
```

Material: Cs3NaTl2I6
Method: DFT, PBE
State: optimized geometry Values from VASP.

Calculated values
SG: C2/m, No. 12
Density of states at the Fermi level, states/eV per cell: 0.000
Raw total energy, eV/atom: -2.68
Theoretical density, Mg/m³: 4.40

```
&SYSTEM
  ibrav = 0, nat = 12, ntyp = 4
/
ATOMIC_SPECIES
I 126.90 I.upf
Tl 204.38 Tl.upf
Cs 132.91 Cs.upf
Na 22.99 Na.upf
CELL_PARAMETERS angstrom
9.008 0.003 0.000
-4.499 7.804 0.000
-1.504 -2.603 8.541
ATOMIC_POSITIONS angstrom
I 3.076 5.325 1.874
I 4.439 2.721 6.705
I 2.867 -0.001 1.837
I 0.138 5.205 6.705
I -1.434 2.483 1.837
I -0.070 -0.121 6.668
Tl 0.024 5.192 0.000
Tl 4.485 2.616 0.000
Cs -2.933 5.164 4.271
Cs 5.938 0.040 4.271
Cs 1.503 2.602 4.271
Na 0.000 0.000 0.000
```

Material: Ce2PrErTe5
Method: DFT, PBE
State: optimized geometry Values from VASP.

Calculated values
SG: P4/mmm, No. 123
Density of states at the Fermi level, states/eV per cell: 19.611
Raw total energy, eV/atom: -4.97
Theoretical density, Mg/m³: 5.74

```
&SYSTEM
  ibrav = 0, nat = 9, ntyp = 4
/
ATOMIC_SPECIES
Ce 140.12 Ce.upf
Te 127.60 Te.upf
Pr 140.91 Pr.upf
Er 167.26 Er.upf
CELL_PARAMETERS angstrom
-2.111 5.036 -0.427
-4.419 -1.614 2.806
5.297 3.078 10.110
ATOMIC_POSITIONS angstrom
Ce 0.314 3.791 8.021
Ce -1.547 2.709 4.468
Te 3.968 2.306 7.573
Te -3.265 1.711 1.190
Te 1.329 0.772 2.537
Te 0.439 0.732 6.458
Te 1.593 4.057 4.841
Pr 0.000 0.000 0.000
Er 2.648 1.539 5.055
```

Material: Nb2BiRu
Method: DFT, PBE
State: optimized geometry Values from VASP.

Calculated values
SG: Fm-3m, No. 225
Relative energy among the computed polymorphs, kJ per mole of atoms: 0.0
Formation energy from the elements, eV per atom: 0.382
Density of states at the Fermi level, states/eV per cell: 8.039
Raw total energy, eV/atom: -7.94
Theoretical density, Mg/m³: 10.97

```
&SYSTEM
  ibrav = 0, nat = 4, ntyp = 3
/
ATOMIC_SPECIES
Nb 92.91 Nb.upf
Bi 208.98 Bi.upf
Ru 101.07 Ru.upf
CELL_PARAMETERS angstrom
1.782 -1.105 4.245
-2.897 -1.240 3.534
-0.101 -4.484 1.515
ATOMIC_POSITIONS angstrom
Nb -0.304 -1.707 2.323
Nb -0.911 -5.122 6.970
Bi -0.607 -3.415 4.647
Ru 0.000 0.000 0.000
```